Zr2ZnNiRh after structural relaxation. Source: Alexandria via LeMat-Bulk, functional PBEsol.

Formation energy: 0.514 eV per atom
Crystal system: tetragonal
Calculated total energy: -31.49 eV per cell

Cell: 4.6046 4.8344 4.8344 Å, 90.00 90.00 90.00°
Closest atoms and distances in Å follow each position.
Positions (direct):
Zn: 0.5000 0.0000 0.0000  2 Rh 2.30
Ni: 0.5000 0.5000 0.5000  8 Zr 3.34, 4 Zn 3.42
Rh: 0.0000 0.0000 0.0000  2 Zn 2.30, 4 Zr 2.42
Zr: 0.0000 0.5000 0.0000  2 Rh 2.42
Zr: 0.0000 0.0000 0.5000  2 Rh 2.42

***

GaPb3Br after structural relaxation. Source: Alexandria via LeMat-Bulk, functional PBEsol.

Raw formation energy: 0.255 eV per atom
Crystal system: cubic
Calculated total energy: -15.93 eV per cell

Cell: 5.5084 5.5084 5.5084 Å, 90.00 90.00 90.00°
Closest atoms and distances in Å follow each position.
Positions (direct):
Ga: 0.0000 0.0000 0.0000  6 Pb 2.75
Br: 0.5000 0.5000 0.5000  12 Pb 3.90
Pb: 0.0000 0.0000 0.5000  2 Ga 2.75
Pb: 0.0000 0.5000 0.0000  2 Ga 2.75
Pb: 0.5000 0.0000 0.0000  2 Ga 2.75

***

In2MoIr after structural relaxation. Source: Alexandria via LeMat-Bulk, functional PBEsol.

Formation energy: 0.251 eV per atom
Crystal system: tetragonal
Calculated total energy: -26.55 eV per cell
Energy above the lowest structure with this stoichiometry: 0 meV per atom

Cell: 3.0840 4.6954 4.6954 Å, 89.95 90.00 90.00°
Closest atoms and distances in Å follow each position.
Positions (direct):
Mo: 0.5000 0.5000 0.5000  8 In 2.81, 2 Mo 3.08
In: 0.0000 0.0000 0.5000  4 Ir 2.81, 4 Mo 2.81, 2 In 3.08
Ir: 0.5000 0.0000 0.0000  8 In 2.81, 2 Ir 3.08
In: 0.0000 0.5000 0.0000  4 Mo 2.81, 4 Ir 2.81, 2 In 3.08

***

BeRhCl2 after structural relaxation. Source: Alexandria via LeMat-Bulk, functional PBEsol.

Raw formation energy: 0.682 eV per atom
Crystal system: cubic
Calculated total energy: -13.42 eV per cell
Energy above the lowest structure with this stoichiometry: 920 meV per atom

Cell: 4.3667 4.3667 4.3667 Å, 60.00 60.00 60.00°
Closest atoms and distances in Å follow each position.
Positions (direct):
Cl: 0.7500 0.7500 0.7500  4 Cl 2.67, 4 Be 2.67
Be: 0.5000 0.5000 0.5000  4 Cl 2.67, 4 Rh 2.67
Cl: 0.0000 0.0000 0.0000  4 Cl 2.67, 4 Rh 2.67
Rh: 0.2500 0.2500 0.2500  4 Cl 2.67, 4 Be 2.67